VASP calculation (SCAN) on a PBEsol-optimized structure of Cd2InHg.

```
Cd2InHg
1.0
-2.5945 1.3907 -3.3363
-1.3320 -4.1856 -0.7089
-1.4114 1.9854 4.8920
In Hg Cd
1 1 2
Cartesian
0.0000 0.0000 0.0000
-1.9633 -1.3974 -2.0226
-2.3533 -1.7989 1.0803
-2.9846 0.9893 -0.2334
```

V = 22.1 A^3/atom
Fermi-level density of states = 0.30 states/eV per atom
relative energy among the computed polymorphs = 22.6 meV per atom
symmetry = I4/mmm (139)